Entry 1:
NaTeAs2Br | PBE | optimized geometry

Cell: 5.3462 5.3462 6.1577 Å, 90.00 90.00 90.00°
Last column: nearest neighbours and their distance in Å.
Sites, in units of the cell vectors:
As  0.0000  0.5000  0.0000  2 Te 2.67
As  0.5000  0.0000  0.0000  2 Te 2.67
Na  0.5000  0.5000  0.5000  4 Br 3.78, 8 As 4.08
Br  0.0000  0.0000  0.5000  2 Te 3.08
Te  0.0000  0.0000  0.0000  4 As 2.67

E above lowest polymorph = 0.000 eV per formula unit
Symmetry = P4/mmm
Raw formation energy = 0.289 eV/atom

***

Entry 2:
NaTiAs2Br | PBE | optimized geometry

Cell: 4.9896 4.9896 5.1825 Å, 90.00 90.00 90.00°
Last column: nearest neighbours and their distance in Å.
Sites, in units of the cell vectors:
Br  0.0000  0.0000  0.5000  2 Na 2.59
Na  0.0000  0.0000  0.0000  4 As 2.49, 2 Br 2.59
Ti  0.5000  0.5000  0.5000  4 Br 3.53, 8 As 3.60
As  0.0000  0.5000  0.0000  2 Na 2.49
As  0.5000  0.0000  0.0000  2 Na 2.49

E above lowest polymorph = 6.276 eV per formula unit
Symmetry = P4/mmm
Raw formation energy = 0.793 eV/atom

***

Which value of E above lowest polymorph does entry 2 give?
6.276 eV per formula unit

***

Which value of raw formation energy does entry 2 give?
0.793 eV/atom

***

Which formula does entry 2 have?
NaTiAs2Br